A.
ZrCuBr2 (GGA-PBEsol, relaxed); density = 6.833 g/cm³; V = 19.11 Å³ per atom
1.0
3.2963 0.0000 0.0000
0.0000 4.6301 -0.0337
0.0000 -2.0618 5.0236
Br Zr Cu
2 1 1
direct
0.5000 0.5000 0.5000 Br
0.0000 0.0000 0.0000 Br
0.0000 0.0000 0.5000 Zr
0.5000 0.5000 0.0000 Cu

***

B.
ZrCuBr2 (GGA-PBEsol, relaxed); density = 6.510 g/cm³; V = 20.06 Å³ per atom
1.0
4.8414 0.0000 0.0000
2.4207 4.1928 0.0000
2.4207 1.3976 3.9530
Br Cu Zr
2 1 1
direct
0.7500 0.7500 0.7500 Br
0.0000 0.0000 0.0000 Br
0.5000 0.5000 0.5000 Cu
0.2500 0.2500 0.2500 Zr

***

Which of them is most stable, and which least? Most stable: A; least stable: B.

***

A.
NbBr2F (GGA-PBEsol, relaxed); density = 5.334 g/cm³; V = 21.15 Å³ per atom
1.0
-1.4312 -0.1246 3.1135
-1.1633 -2.9801 1.2342
6.5797 -2.5487 4.8107
Nb Br F
1 2 1
direct
0.0000 0.0000 0.0000 Nb
0.9053 0.9053 0.2841 Br
0.0947 0.0947 0.7159 Br
0.5000 0.5000 0.5000 F

***

B.
NbBr2F (GGA-PBEsol, relaxed); density = 4.732 g/cm³; V = 23.84 Å³ per atom
1.0
-2.9459 2.7666 -0.8303
-6.2224 -3.3850 0.5479
-1.7868 3.0267 6.1744
Br F Nb
4 2 2
direct
0.3750 0.8473 0.6527 Br
0.7777 0.3473 0.8473 Br
0.8750 0.1527 0.3473 Br
0.9723 0.6527 0.1527 Br
0.5000 0.0000 0.0000 F
0.2500 0.5000 0.5000 F
0.0000 0.0000 0.0000 Nb
0.7500 0.5000 0.5000 Nb

***

Which of them is most stable, and which least? Most stable: B; least stable: A.

***

A.
SrBrOF2 (GGA-PBEsol, relaxed); density = 4.178 g/cm³; V = 17.61 Å³ per atom
1.0
-3.5428 -1.1847 -1.4616
1.4012 -4.4646 0.2223
-1.6925 -0.3142 4.3569
O F Br Sr
1 2 1 1
direct
0.5000 0.0000 0.0000 O
0.0000 0.0000 0.5000 F
0.0000 0.5000 0.0000 F
0.0000 0.0000 0.0000 Br
0.5000 0.5000 0.5000 Sr

***

B.
SrBrOF2 (GGA-PBEsol, relaxed); density = 3.387 g/cm³; V = 21.72 Å³ per atom
1.0
-0.8005 4.5284 -0.0758
-4.5085 -0.8040 -0.4239
-0.4807 0.0006 5.1112
F O Br Sr
2 1 1 1
direct
0.5000 0.0000 0.0000 F
0.0000 0.5000 0.0000 F
0.0000 0.0000 0.5000 O
0.5000 0.5000 0.5000 Br
0.0000 0.0000 0.0000 Sr

***

Which of them is most stable, and which least? Most stable: A; least stable: B.

***

A.
PtBrF2 (GGA-PBEsol, relaxed); density = 8.066 g/cm³; V = 16.11 Å³ per atom
1.0
2.7871 0.0000 0.0000
1.3936 2.4137 0.0000
1.3936 0.8046 9.5779
Br F Pt
1 2 1
direct
0.5000 0.5000 0.5000 Br
0.0660 0.0660 0.8021 F
0.9340 0.9340 0.1979 F
0.0000 0.0000 0.0000 Pt

***

B.
PtBrF2 (GGA-PBEsol, relaxed); density = 8.759 g/cm³; V = 14.83 Å³ per atom
1.0
-2.4655 -0.5719 -1.3054
-0.0736 -1.8665 -2.1495
-2.2986 -7.0727 4.3338
F Pt Br
2 1 1
direct
0.9245 0.9245 0.2264 F
0.0755 0.0755 0.7736 F
0.5000 0.5000 0.5000 Pt
0.0000 0.0000 0.0000 Br

***

Which of them is most stable, and which least? Most stable: A; least stable: B.